# 1
Crystalline Ce2GaC at its relaxed geometry, computed with PBE-GGA.

Results
size of the total moment = 0.000 μB per formula unit
crystal system = tetragonal
DFT total energy = -6.209 eV per atom
DOS(E_F) = 5.3 states/eV/f.u.

Cell lengths 3.1324, 3.1324, 7.6104 Å; angles 90.00, 90.00, 90.00 degrees
Closest atoms and distances in Å follow each position.
Fractional coordinates of all 4 atoms:
Ce: 0.0000 0.0000 0.1885  4 C 2.64, 1 Ce 2.87
Ce: 0.0000 0.0000 0.8115  4 C 2.64, 1 Ce 2.87
Ga: 0.5000 0.5000 0.5000  4 Ga 3.13, 8 Ce 3.24
C: 0.5000 0.5000 0.0000  8 Ce 2.64

---

# 2
Crystalline Ce4GaC2 at its relaxed geometry, computed with PBE-GGA.

Results
size of the total moment = 0.663 μB per formula unit
crystal system = orthorhombic
DFT total energy = -6.613 eV per atom
DOS(E_F) = 8.6 states/eV/f.u.

Cell lengths 8.5078, 7.4467, 7.3884 Å; angles 69.99, 55.33, 54.68 degrees
Closest atoms and distances in Å follow each position.
Fractional coordinates of all 14 atoms:
Ce: 0.1241 0.2861 0.2884  3 C 2.55-2.60, 1 Ce 2.75
Ce: 0.1987 0.7116 0.7139  3 C 2.55-2.60, 1 Ce 2.75
Ce: 0.2861 0.1241 0.8013  3 C 2.55-2.60, 1 Ce 2.75
Ce: 0.2884 0.8013 0.1241  3 C 2.55-2.60, 1 Ce 2.75
Ce: 0.7116 0.1987 0.8759  3 C 2.55-2.60, 1 Ce 2.75
Ce: 0.7139 0.8759 0.1987  3 C 2.55-2.60, 1 Ce 2.75
Ce: 0.8013 0.2884 0.2861  3 C 2.55-2.60, 1 Ce 2.75
Ce: 0.8759 0.7139 0.7116  3 C 2.55-2.60, 1 Ce 2.75
Ga: 0.3750 0.3750 0.3750  8 Ce 2.98-3.24
Ga: 0.6250 0.6250 0.6250  8 Ce 2.98-3.24
C: 0.0000 0.0000 0.0000  6 Ce 2.55-2.60
C: 0.0000 0.0000 0.5000  6 Ce 2.55-2.60
C: 0.0000 0.5000 0.0000  6 Ce 2.55-2.60
C: 0.5000 0.0000 0.0000  6 Ce 2.55-2.60

---

# 3
Crystalline Ce2GaC at its relaxed geometry, computed with PBE-GGA.

Results
size of the total moment = 0.711 μB per formula unit
crystal system = monoclinic
DFT total energy = -6.315 eV per atom
DOS(E_F) = 6.7 states/eV/f.u.

Cell lengths 5.8142, 5.8142, 7.5577 Å; angles 94.57, 94.57, 37.68 degrees
Closest atoms and distances in Å follow each position.
Fractional coordinates of all 8 atoms:
Ce: 0.0320 0.0320 0.2461  4 C 2.66-2.82, 1 Ce 2.82
Ce: 0.2213 0.2213 0.8492  1 C 2.52
Ce: 0.7787 0.7787 0.1508  1 C 2.52
Ce: 0.9680 0.9680 0.7539  4 C 2.66-2.82, 1 Ce 2.82
Ga: 0.3317 0.3317 0.4645  2 Ga 2.69
Ga: 0.6683 0.6683 0.5355  2 Ga 2.69
C: 0.4357 0.4357 0.9939  1 C 1.41
C: 0.5643 0.5643 0.0061  1 C 1.41

---

# 4
Crystalline Ce5Ga2C2 at its relaxed geometry, computed with PBE-GGA.

Results
size of the total moment = 3.031 μB per formula unit
crystal system = orthorhombic
DFT total energy = -6.075 eV per atom
DOS(E_F) = 18.9 states/eV/f.u.

Cell lengths 8.3244, 7.5786, 5.8147 Å; angles 75.58, 61.85, 42.57 degrees
Closest atoms and distances in Å follow each position.
Fractional coordinates of all 9 atoms:
Ce: 0.0000 0.0000 0.0000  2 C 2.31
Ce: 0.1339 0.1339 0.3661  2 C 2.47
Ce: 0.3661 0.3661 0.1339  2 C 2.47
Ce: 0.6339 0.6339 0.8661  2 C 2.47
Ce: 0.8661 0.8661 0.6339  2 C 2.47
Ga: 0.2417 0.2417 0.7583  9 Ce 3.26-3.37, 2 Ga 3.32
Ga: 0.7583 0.7583 0.2417  9 Ce 3.26-3.37, 2 Ga 3.32
C: 0.2417 0.7583 0.2417  5 Ce 2.31-2.47
C: 0.7583 0.2417 0.7583  5 Ce 2.31-2.47

---

# 5
Crystalline Ce2GaC at its relaxed geometry, computed with PBE-GGA.

Results
size of the total moment = 0.000 μB per formula unit
crystal system = trigonal
DFT total energy = -5.422 eV per atom
DOS(E_F) = 5.7 states/eV/f.u.

Cell lengths 7.6729, 7.6729, 7.6729 Å; angles 34.63, 34.63, 34.63 degrees
Closest atoms and distances in Å follow each position.
Fractional coordinates of all 4 atoms:
Ce: 0.0946 0.0946 0.0946  1 C 2.05
Ce: 0.9054 0.9054 0.9054  1 C 2.05
Ga: 0.5000 0.5000 0.5000  6 Ce 3.06
C: 0.0000 0.0000 0.0000  2 Ce 2.05

---

# 6
Crystalline Ce5Ga5C at its relaxed geometry, computed with PBE-GGA.

Results
size of the total moment = 6.054 μB per formula unit
crystal system = hexagonal
DFT total energy = -5.031 eV per atom
DOS(E_F) = 24.0 states/eV/f.u.

Cell lengths 5.3442, 5.3442, 9.6643 Å; angles 90.00, 90.00, 120.00 degrees
Closest atoms and distances in Å follow each position.
Fractional coordinates of all 11 atoms:
Ce: 0.0000 0.0000 0.0000  2 Ga 2.79, 3 C 3.09
Ce: 0.3333 0.6667 0.2703  1 C 2.61
Ce: 0.3333 0.6667 0.7297  1 C 2.61
Ce: 0.6667 0.3333 0.1935  3 Ce 3.17, 6 Ga 3.22-3.31
Ce: 0.6667 0.3333 0.8065  3 Ce 3.17, 6 Ga 3.22-3.31
Ga: 0.0000 0.0000 0.2889  3 Ga 2.60, 1 Ce 2.79
Ga: 0.0000 0.0000 0.7111  3 Ga 2.60, 1 Ce 2.79
Ga: 0.3497 0.1748 0.5000  6 Ga 2.54-2.80
Ga: 0.8252 0.1748 0.5000  6 Ga 2.54-2.80
Ga: 0.8252 0.6503 0.5000  6 Ga 2.54-2.80
C: 0.3333 0.6667 0.0000  2 Ce 2.61